1.
A relaxed structure of CdInPd5, computed with PBE-GGA.

a b c (Å): 3.973 3.973 7.945
angles (deg): 90.00 90.00 90.00
Space group P4/mmm (No. 123)
Unique sites:
Cd  0.000  0.000  0.000
In  0.500  0.500  0.500
Pd  0.000  0.500  0.261
Pd  0.500  0.500  0.000

energy relative to the elements = -0.254 eV per atom

***

2.
A relaxed structure of AcCu2SiIr, computed with PBE-GGA.

a b c (Å): 4.226 4.310 10.116
angles (deg): 90.00 90.00 90.00
Space group Imm2 (No. 44)
Unique sites:
Ac  0.000  0.000  0.000
Cu  0.000  0.000  0.610
Cu  0.000  0.500  0.253
Si  0.000  0.000  0.364
Ir  0.000  0.500  0.754

raw formation energy = -0.422 eV per atom